1.
## NdSm2Zn (PBE)

Data for an optimized crystal structure of NdSm2Zn.

The space group is P4/mmm (No. 123) and the conventional cell measures 4.844, 4.844 and 4.853 Å, with angles of 90.00, 90.00 and 90.00 degrees. Symmetry generates all atoms from Nd at (0.000, 0.000, 0.000), Sm at (0.000, 0.500, 0.500) and Zn at (0.500, 0.500, 0.000).

The energy relative to the lowest polymorph listed for this composition comes out at 121 meV/atom. Its crystal system is tetragonal. The formation energy comes out at -0.035 eV/atom.

***

2.
## NdSm2Zn (PBE)

Data for an optimized crystal structure of NdSm2Zn.

The space group is R3m (No. 160, hexagonal axes) and the conventional cell measures 3.6745, 3.6745 and 31.5459 Å, with angles of 90.00, 90.00 and 120.00 degrees. Symmetry generates all atoms from Nd at (0.0000, 0.0000, 0.0000), Sm at (0.0000, 0.0000, 0.5704), Sm at (0.0000, 0.0000, 0.7623) and Zn at (0.0000, 0.0000, 0.1662).

The energy relative to the lowest polymorph listed for this composition comes out at 115 meV/atom. Its crystal system is trigonal. The formation energy comes out at -0.040 eV/atom.

***

3.
## NdSm2Zn5 (PBE)

Data for an optimized crystal structure of NdSm2Zn5.

The space group is I4/mmm (No. 139) and the conventional cell measures 4.918, 4.918 and 14.503 Å, with angles of 90.00, 90.00 and 90.00 degrees. Symmetry generates all atoms from Nd at (0.000, 0.000, 0.000), Sm at (0.000, 0.000, 0.270), Zn at (0.000, 0.000, 0.500) and Zn at (0.000, 0.500, 0.115).

Its crystal system is tetragonal. The formation energy comes out at -0.294 eV/atom.

***

DOS(E_F) (states/eV/atom)
1.627, 1.084, 0.496